VASP calculation (PBE) on a relaxed CsCd2Bi2Pb2 crystal.

Cell: 10.7122 10.7122 10.7122 Å, 30.05 30.05 30.05°
Last column: nearest neighbours and their distance in Å.
Sites, in units of the cell vectors:
Cs (0.0000, 0.0000, 0.0000)  6 Cd 4.09, 2 Pb 4.13, 6 Bi 4.33
Cd (0.4163, 0.4163, 0.4163)  3 Bi 3.23, 3 Pb 3.58
Cd (0.5837, 0.5837, 0.5837)  3 Bi 3.23, 3 Pb 3.58
Bi (0.2385, 0.2385, 0.2385)  4 Pb 3.18-3.43, 3 Cd 3.23
Bi (0.7615, 0.7615, 0.7615)  4 Pb 3.18-3.43, 3 Cd 3.23
Pb (0.1348, 0.1348, 0.1348)  4 Bi 3.18-3.43
Pb (0.8652, 0.8652, 0.8652)  4 Bi 3.18-3.43

* E_form: -55 meV/atom

VASP calculation (PBE) on a relaxed Cs2RbCdBi crystal.

Cell: 7.4030 7.4030 5.8581 Å, 90.00 90.00 90.00°
Last column: nearest neighbours and their distance in Å.
Sites, in units of the cell vectors:
Cs (0.0000, 0.5000, 0.0000)  2 Cd 3.70
Cs (0.5000, 0.0000, 0.0000)  2 Cd 3.70
Rb (0.0000, 0.0000, 0.5000)  8 Cs 4.72, 4 Bi 5.23
Cd (0.5000, 0.5000, 0.0000)  2 Bi 2.93
Bi (0.5000, 0.5000, 0.5000)  2 Cd 2.93

* distance to the lowest polymorph of the same formula: 0.0 meV/atom
* E_form: -89 meV/atom

VASP calculation (PBE) on a relaxed Cs2RbCdBi crystal.

Cell: 7.6305 7.6305 7.2603 Å, 90.00 90.00 90.00°
Last column: nearest neighbours and their distance in Å.
Sites, in units of the cell vectors:
Cs (0.0000, 0.5000, 0.0000)  2 Bi 3.82
Cs (0.5000, 0.0000, 0.0000)  2 Bi 3.82
Rb (0.0000, 0.0000, 0.5000)  2 Bi 3.63
Cd (0.5000, 0.5000, 0.5000)  8 Cs 5.27, 4 Rb 5.40
Bi (0.0000, 0.0000, 0.0000)  2 Rb 3.63, 4 Cs 3.82

* distance to the lowest polymorph of the same formula: 32.2 meV/atom
* E_form: -56 meV/atom

VASP calculation (PBE) on a relaxed CsRbCd2Bi2 crystal.

Cell: 5.0634 5.0634 11.7349 Å, 90.00 90.00 120.00°
Last column: nearest neighbours and their distance in Å.
Sites, in units of the cell vectors:
Cs (0.0000, 0.0000, 0.0000)  6 Bi 4.19, 6 Cd 4.27
Rb (0.0000, 0.0000, 0.5000)  6 Cd 4.01, 6 Bi 4.09
Cd (0.3333, 0.6667, 0.2655)  3 Bi 2.93
Cd (0.6667, 0.3333, 0.7345)  3 Bi 2.93
Bi (0.3333, 0.6667, 0.7442)  3 Cd 2.93
Bi (0.6667, 0.3333, 0.2558)  3 Cd 2.93

* E_form: -326 meV/atom

VASP calculation (PBE) on a relaxed CsRb2Cd2Bi2 crystal.

Cell: 12.7519 12.7519 12.7519 Å, 24.59 24.59 24.59°
Last column: nearest neighbours and their distance in Å.
Sites, in units of the cell vectors:
Cs (0.0000, 0.0000, 0.0000)  6 Cd 4.16, 6 Bi 4.28
Rb (0.1314, 0.1314, 0.1314)  3 Bi 3.70, 3 Cd 3.79, 3 Rb 4.08
Rb (0.8686, 0.8686, 0.8686)  3 Bi 3.70, 3 Cd 3.79, 3 Rb 4.08
Cd (0.4071, 0.4071, 0.4071)  3 Bi 3.14
Cd (0.5929, 0.5929, 0.5929)  3 Bi 3.14
Bi (0.2547, 0.2547, 0.2547)  3 Cd 3.14
Bi (0.7453, 0.7453, 0.7453)  3 Cd 3.14

* E_form: -255 meV/atom

VASP calculation (PBE) on a relaxed Cs2RbCdBi2 crystal.

Cell: 10.3285 10.3285 10.3285 Å, 127.60 71.43 135.11°
Last column: nearest neighbours and their distance in Å.
Sites, in units of the cell vectors:
Cs (0.1712, 0.2077, 0.3789)  4 Bi 3.87-4.17, 2 Cd 3.97
Cs (0.3288, 0.7077, 0.0365)  4 Bi 3.87-4.17, 2 Cd 3.97
Cs (0.6712, 0.2923, 0.9635)  4 Bi 3.87-4.17, 2 Cd 3.97
Cs (0.8288, 0.7923, 0.6211)  4 Bi 3.87-4.17, 2 Cd 3.97
Rb (0.2500, 0.7500, 0.5000)  4 Bi 3.77, 2 Rb 3.94
Rb (0.7500, 0.2500, 0.5000)  4 Bi 3.77, 2 Rb 3.94
Cd (0.2500, 0.2500, 0.0000)  4 Bi 3.05
Cd (0.7500, 0.7500, 0.0000)  4 Bi 3.05
Bi (0.0917, 0.8088, 0.9006)  2 Cd 3.05
Bi (0.4083, 0.3088, 0.7171)  2 Cd 3.05
Bi (0.5917, 0.6912, 0.2829)  2 Cd 3.05
Bi (0.9083, 0.1912, 0.0994)  2 Cd 3.05

* E_form: -294 meV/atom

VASP calculation (PBE) on a relaxed CsCdReBi2 crystal.

Cell: 5.4154 5.4154 5.5672 Å, 90.00 90.00 90.00°
Last column: nearest neighbours and their distance in Å.
Sites, in units of the cell vectors:
Cs (0.0000, 0.0000, 0.0000)  4 Cd 3.83, 8 Bi 3.88
Cd (0.5000, 0.5000, 0.0000)  2 Re 2.78
Re (0.5000, 0.5000, 0.5000)  4 Bi 2.71, 2 Cd 2.78
Bi (0.0000, 0.5000, 0.5000)  2 Re 2.71
Bi (0.5000, 0.0000, 0.5000)  2 Re 2.71

* E_form: 346 meV/atom

VASP calculation (PBE) on a relaxed CsCd2BiRh crystal.

Cell: 5.4305 5.4305 5.2955 Å, 90.00 90.00 90.00°
Last column: nearest neighbours and their distance in Å.
Sites, in units of the cell vectors:
Cs (0.0000, 0.0000, 0.0000)  8 Cd 3.79, 4 Bi 3.84
Cd (0.0000, 0.5000, 0.5000)  2 Rh 2.72
Cd (0.5000, 0.0000, 0.5000)  2 Rh 2.72
Bi (0.5000, 0.5000, 0.0000)  2 Rh 2.65
Rh (0.5000, 0.5000, 0.5000)  2 Bi 2.65, 4 Cd 2.72

* E_form: -96 meV/atom

VASP calculation (PBE) on a relaxed Cs2CdBi2S5 crystal.

Cell: 16.0940 4.2280 18.7806 Å, 90.00 90.00 90.00°
Last column: nearest neighbours and their distance in Å.
Sites, in units of the cell vectors:
Cs (0.0056, 0.2500, 0.1257)  7 S 3.54-3.68
Cs (0.0333, 0.7500, 0.3864)  6 S 3.43-3.72
Cs (0.4667, 0.2500, 0.8864)  6 S 3.43-3.72
Cs (0.4944, 0.7500, 0.6257)  7 S 3.54-3.68
Cs (0.5056, 0.2500, 0.3743)  7 S 3.54-3.68
Cs (0.5333, 0.7500, 0.1136)  6 S 3.43-3.72
Cs (0.9667, 0.2500, 0.6136)  6 S 3.43-3.72
Cs (0.9944, 0.7500, 0.8743)  7 S 3.54-3.68
Cd (0.2131, 0.2500, 0.8556)  4 S 2.56-2.61
Cd (0.2869, 0.7500, 0.3556)  4 S 2.56-2.61
Cd (0.7131, 0.2500, 0.6444)  4 S 2.56-2.61
Cd (0.7869, 0.7500, 0.1444)  4 S 2.56-2.61
Bi (0.2096, 0.7500, 0.6969)  6 S 2.76-3.01
Bi (0.2461, 0.7500, 0.0196)  5 S 2.61-2.92
Bi (0.2539, 0.2500, 0.5196)  5 S 2.61-2.92
Bi (0.2904, 0.2500, 0.1969)  6 S 2.76-3.01
Bi (0.7096, 0.7500, 0.8031)  6 S 2.76-3.01
Bi (0.7461, 0.7500, 0.4804)  5 S 2.61-2.92
Bi (0.7539, 0.2500, 0.9804)  5 S 2.61-2.92
Bi (0.7904, 0.2500, 0.3031)  6 S 2.76-3.01
S (0.1081, 0.2500, 0.7499)  1 Cd 2.61, 2 Bi 2.85
S (0.1390, 0.2500, 0.9762)  1 Cd 2.56, 2 Bi 2.85
S (0.1392, 0.7500, 0.5626)  3 Bi 2.76-2.92
S (0.1818, 0.7500, 0.1474)  3 Bi 2.61-2.90
S (0.1990, 0.2500, 0.3366)  2 Cd 2.57
S (0.3010, 0.7500, 0.8366)  2 Cd 2.57
S (0.3182, 0.2500, 0.6474)  3 Bi 2.61-2.90
S (0.3608, 0.2500, 0.0626)  3 Bi 2.76-2.92
S (0.3610, 0.7500, 0.4762)  1 Cd 2.56, 2 Bi 2.85
S (0.3919, 0.7500, 0.2499)  1 Cd 2.61, 2 Bi 2.85
S (0.6081, 0.2500, 0.7501)  1 Cd 2.61, 2 Bi 2.85
S (0.6390, 0.2500, 0.5238)  1 Cd 2.56, 2 Bi 2.85
S (0.6392, 0.7500, 0.9374)  3 Bi 2.76-2.92
S (0.6818, 0.7500, 0.3526)  3 Bi 2.61-2.90
S (0.6990, 0.2500, 0.1634)  2 Cd 2.57
S (0.8010, 0.7500, 0.6634)  2 Cd 2.57
S (0.8182, 0.2500, 0.8526)  3 Bi 2.61-2.90
S (0.8608, 0.2500, 0.4374)  3 Bi 2.76-2.92
S (0.8610, 0.7500, 0.0238)  1 Cd 2.56, 2 Bi 2.85
S (0.8919, 0.7500, 0.2501)  1 Cd 2.61, 2 Bi 2.85

* ΔE_f (raw): -0.761 eV/atom

VASP calculation (PBE) on a relaxed CsCd4BiSb2 crystal.

Cell: 4.8300 4.8300 11.7478 Å, 90.00 90.00 90.00°
Last column: nearest neighbours and their distance in Å.
Sites, in units of the cell vectors:
Cs (0.0000, 0.0000, 0.0000)  8 Sb 4.09
Cd (0.0000, 0.5000, 0.3320)  2 Sb 2.92, 2 Bi 3.12
Cd (0.0000, 0.5000, 0.6680)  2 Sb 2.92, 2 Bi 3.12
Cd (0.5000, 0.0000, 0.3320)  2 Sb 2.92, 2 Bi 3.12
Cd (0.5000, 0.0000, 0.6680)  2 Sb 2.92, 2 Bi 3.12
Bi (0.0000, 0.0000, 0.5000)  8 Cd 3.12
Sb (0.5000, 0.5000, 0.1917)  4 Cd 2.92
Sb (0.5000, 0.5000, 0.8083)  4 Cd 2.92

* ΔE_f (raw): -0.170 eV/atom

VASP calculation (PBE) on a relaxed CsCd4Bi2Sb crystal.

Cell: 4.9481 4.9481 11.1642 Å, 90.00 90.00 90.00°
Last column: nearest neighbours and their distance in Å.
Sites, in units of the cell vectors:
Cs (0.0000, 0.0000, 0.0000)  8 Bi 4.07, 8 Cd 4.52
Cd (0.0000, 0.5000, 0.3389)  2 Bi 3.01, 2 Sb 3.06
Cd (0.0000, 0.5000, 0.6611)  2 Bi 3.01, 2 Sb 3.06
Cd (0.5000, 0.0000, 0.3389)  2 Bi 3.01, 2 Sb 3.06
Cd (0.5000, 0.0000, 0.6611)  2 Bi 3.01, 2 Sb 3.06
Bi (0.5000, 0.5000, 0.1860)  4 Cd 3.01
Bi (0.5000, 0.5000, 0.8140)  4 Cd 3.01
Sb (0.0000, 0.0000, 0.5000)  8 Cd 3.06

* ΔE_f (raw): -0.158 eV/atom

VASP calculation (PBE) on a relaxed CsCdBiSb crystal.

Cell: 4.4725 4.4725 15.7875 Å, 90.00 90.00 90.00°
Last column: nearest neighbours and their distance in Å.
Sites, in units of the cell vectors:
Cs (0.2500, 0.2500, 0.2126)  4 Sb 4.03, 4 Bi 4.04, 4 Cs 4.47
Cs (0.7500, 0.7500, 0.7874)  4 Sb 4.03, 4 Bi 4.04, 4 Cs 4.47
Cd (0.2500, 0.7500, 0.5000)  4 Bi 3.01, 4 Cd 3.16
Cd (0.7500, 0.2500, 0.5000)  4 Bi 3.01, 4 Cd 3.16
Bi (0.2500, 0.2500, 0.6280)  4 Cd 3.01
Bi (0.7500, 0.7500, 0.3720)  4 Cd 3.01
Sb (0.2500, 0.7500, 0.0000)  4 Sb 3.16
Sb (0.7500, 0.2500, 0.0000)  4 Sb 3.16

* ΔE_f (raw): -0.192 eV/atom

Number 1: size of the total moment 0.0 μB/cell, V 273.1 Å³ per cell. Number 2: size of the total moment 0.7 μB/cell, V 321.1 Å³ per cell. Number 3: size of the total moment 0.0 μB/cell, V 422.7 Å³ per cell. Number 4: size of the total moment 0.0 μB/cell, V 260.6 Å³ per cell. Number 5: size of the total moment 0.0 μB/cell, V 315.7 Å³ per cell. Number 6: size of the total moment 0.0 μB/cell, V 603.3 Å³ per cell. Number 7: size of the total moment 0.0 μB/cell, V 163.3 Å³ per cell. Number 8: size of the total moment 0.0 μB/cell, V 156.2 Å³ per cell. Number 9: size of the total moment 0.0 μB/cell, V 1277.9 Å³ per cell. Number 10: size of the total moment 0.0 μB/cell, V 274.1 Å³ per cell. Number 11: size of the total moment 0.0 μB/cell, V 273.3 Å³ per cell. Number 12: size of the total moment 0.0 μB/cell, V 315.8 Å³ per cell.